DFT (PBE-GGA) results for a relaxed ScTi3Nb crystal.

Geometry as POSCAR:
```
ScTi3Nb
1.0
4.810 0.000 0.000
0.000 4.810 0.000
0.000 0.000 4.810
Sc Ti Nb
1 3 1
direct
0.000 0.000 0.000
0.000 0.500 0.500
0.500 0.000 0.500
0.500 0.500 0.000
0.500 0.500 0.500
```

Computed properties:
Formation energy from the elements in eV/atom: 0.7255
Polymorph energy (0 for the lowest one) in kJ/mol of formula units: 0

***

DFT (PBE-GGA) results for a relaxed TmThTlIn crystal.

Geometry as POSCAR:
```
TmThTlIn
1.0
0.000 3.826 3.826
3.826 0.000 3.826
3.826 3.826 0.000
Tm Th Tl In
1 1 1 1
direct
0.000 0.000 0.000
0.500 0.500 0.500
0.250 0.250 0.250
0.750 0.750 0.750
```

Computed properties:
Formation energy from the elements in eV/atom: -0.2248
Polymorph energy (0 for the lowest one) in kJ/mol of formula units: 14

***

DFT (PBE-GGA) results for a relaxed ZrCr2Si crystal.

Geometry as POSCAR:
```
ZrCr2Si
1.0
1.654 -2.219 0.000
1.654 2.219 0.000
0.000 0.000 7.914
Zr Cr Si
1 2 1
direct
0.000 0.000 0.000
0.500 0.500 0.286
0.500 0.500 0.714
0.000 0.000 0.500
```

Computed properties:
Formation energy from raw total energies in kJ per mole of atoms: 14

***

DFT (PBE-GGA) results for a relaxed Cs3LiS crystal.

Geometry as POSCAR:
```
Cs3LiS
1.0
6.852 0.000 0.000
0.000 6.852 0.000
0.000 0.000 6.852
Cs Li S
3 1 1
direct
0.000 0.000 0.500
0.000 0.500 0.000
0.500 0.000 0.000
0.500 0.500 0.500
0.000 0.000 0.000
```

Computed properties:
Formation energy from raw total energies in kJ per mole of atoms: -43
Polymorph energy (0 for the lowest one) in kJ/mol of formula units: 0

***

DFT (PBE-GGA) results for a relaxed BeBiTe2I crystal.

Geometry as POSCAR:
```
BeBiTe2I
1.0
5.980 0.000 0.000
0.000 5.980 0.000
0.000 0.000 6.076
Be Bi Te I
1 1 2 1
direct
0.000 0.000 0.000
0.500 0.500 0.500
0.000 0.500 0.500
0.500 0.000 0.500
0.500 0.500 0.000
```

Computed properties:
Formation energy from raw total energies in kJ per mole of atoms: 89
Polymorph energy (0 for the lowest one) in kJ/mol of formula units: 335

***

DFT (PBE-GGA) results for a relaxed PaBi2HO6 crystal.

Geometry as POSCAR:
```
PaBi2HO6
1.0
6.280 0.000 0.000
0.000 3.930 0.000
-5.143 0.000 11.011
Pa Bi H O
2 4 2 12
direct
0.000 0.000 0.000
0.000 0.500 0.500
0.347 0.053 0.821
0.347 0.447 0.321
0.653 0.553 0.679
0.653 0.947 0.179
0.500 0.000 0.500
0.500 0.500 0.000
0.051 0.657 0.895
0.051 0.843 0.395
0.313 0.633 0.690
0.313 0.867 0.190
0.402 0.225 0.535
0.402 0.275 0.035
0.598 0.725 0.965
0.598 0.775 0.465
0.687 0.133 0.810
0.687 0.367 0.310
0.949 0.157 0.605
0.949 0.343 0.105
```

***

DFT (PBE-GGA) results for a relaxed SiSbW2 crystal.

Geometry as POSCAR:
```
SiSbW2
1.0
-1.738 2.462 4.015
1.738 -2.462 4.015
1.738 2.462 -4.015
Si Sb W
1 1 2
direct
0.000 0.000 0.000
0.500 0.500 0.000
0.211 0.711 0.500
0.789 0.289 0.500
```

Computed properties:
Formation energy from raw total energies in kJ per mole of atoms: 54
Polymorph energy (0 for the lowest one) in kJ/mol of formula units: 153

***

DFT (PBE-GGA) results for a relaxed Sr4PPb crystal.

Geometry as POSCAR:
```
Sr4PPb
1.0
0.000 4.810 4.810
4.810 0.000 4.810
4.810 4.810 0.000
Sr P Pb
4 1 1
direct
0.125 0.125 0.125
0.125 0.125 0.626
0.125 0.626 0.125
0.626 0.125 0.125
0.750 0.750 0.750
0.500 0.500 0.500
```

Computed properties:
Formation energy from the elements in eV/atom: 0.3860

***

Number 1: E_tot -7.2917 eV/atom. Number 2: E_tot -4.4738 eV/atom. Number 3: E_tot -8.1566 eV/atom. Number 4: E_tot -2.1674 eV/atom. Number 5: E_tot -2.1621 eV/atom. Number 6: E_tot -6.9103 eV/atom. Number 7: E_tot -8.2983 eV/atom. Number 8: E_tot -2.2550 eV/atom.